Arrangement a

The following is a DFT calculation (GGA-PBE) of a relaxed structure of AgTe2Au.

size of the total moment	0.0	μB/f.u.
SG	Imm2 (44)
crystal system	orthorhombic

Cell lengths 7.1489, 7.1489, 7.1489 Å; angles 148.44, 147.89, 45.64 degrees
Last column: nearest neighbours and their distance in Å.
Atoms (fractional coordinates):
Ag: 0.0000 0.0000 0.0000  6 Te 2.93-3.02
Te: 0.4088 0.4088 0.0000  2 Au 2.87, 4 Ag 3.02
Te: 0.6640 0.1640 0.5000  2 Ag 2.93, 4 Au 2.99
Au: 0.2489 0.7489 0.5000  6 Te 2.87-2.99



Arrangement b

The following is a DFT calculation (GGA-PBE) of a relaxed structure of AgTe2Au.

size of the total moment	0.0	μB/f.u.
SG	P4mm (99)
crystal system	tetragonal

Cell lengths 3.1396, 3.1396, 10.3030 Å; angles 90.00, 90.00, 90.00 degrees
Last column: nearest neighbours and their distance in Å.
Atoms (fractional coordinates):
Ag: 0.0000 0.0000 0.0000  4 Au 2.93, 4 Ag 3.14, 4 Te 3.17
Te: 0.0000 0.0000 0.4103  4 Te 3.14, 4 Au 3.20
Te: 0.5000 0.5000 0.7798  4 Te 3.14, 4 Ag 3.17
Au: 0.5000 0.5000 0.1861  4 Ag 2.93, 4 Au 3.14, 4 Te 3.20



Here is how they stack up, most stable first: arrangement a, arrangement b.



Arrangement a

The following is a DFT calculation (GGA-PBE) of a relaxed structure of AgTe2Au.

size of the total moment	0.0	μB/f.u.
SG	Fm-3m (225)
crystal system	cubic

Cell lengths 5.1181, 5.1181, 5.1181 Å; angles 60.00, 60.00, 60.00 degrees
Last column: nearest neighbours and their distance in Å.
Atoms (fractional coordinates):
Ag: 0.0000 0.0000 0.0000  8 Te 3.13
Te: 0.2500 0.2500 0.2500  4 Au 3.13, 4 Ag 3.13
Te: 0.7500 0.7500 0.7500  4 Ag 3.13, 4 Au 3.13
Au: 0.5000 0.5000 0.5000  8 Te 3.13



Arrangement b

The following is a DFT calculation (GGA-PBE) of a relaxed structure of AgTe2Au.

size of the total moment	0.0	μB/f.u.
SG	C2/m (12)
crystal system	monoclinic

Cell lengths 4.4527, 4.4527, 6.9843 Å; angles 108.92, 108.92, 56.30 degrees
Last column: nearest neighbours and their distance in Å.
Atoms (fractional coordinates):
Ag: 0.0000 0.0000 0.0000  4 Te 2.78
Te: 0.3120 0.3120 0.7508  1 Au 2.67, 2 Ag 2.78
Te: 0.6880 0.6880 0.2492  1 Au 2.67, 2 Ag 2.78
Au: 0.5000 0.5000 0.5000  2 Te 2.67



Arrangement c

The following is a DFT calculation (GGA-PBE) of a relaxed structure of AgTe2Au.

size of the total moment	0.0	μB/f.u.
SG	P1 (1)
crystal system	triclinic

Cell lengths 3.2400, 4.4871, 8.1803 Å; angles 90.01, 100.82, 90.02 degrees
Last column: nearest neighbours and their distance in Å.
Atoms (fractional coordinates):
Ag: 0.0000 0.0000 0.0000  5 Te 2.83-2.96
Te: 0.1713 0.9978 0.3523  2 Au 2.70, 1 Ag 2.83
Te: 0.4371 0.4998 0.8721  1 Au 2.68, 4 Ag 2.95-2.96
Au: 0.2667 0.4976 0.5385  3 Te 2.68-2.70



Arrangement d

The following is a DFT calculation (GGA-PBE) of a relaxed structure of AgTe2Au.

size of the total moment	0.0	μB/f.u.
SG	P4/mmm (123)
crystal system	tetragonal

Cell lengths 5.6194, 5.6194, 3.0504 Å; angles 90.00, 90.00, 90.00 degrees
Last column: nearest neighbours and their distance in Å.
Atoms (fractional coordinates):
Ag: 0.0000 0.0000 0.0000  2 Ag 3.05, 8 Te 3.20
Te: 0.0000 0.5000 0.5000  2 Te 3.05, 4 Au 3.20, 4 Ag 3.20
Te: 0.5000 0.0000 0.5000  2 Te 3.05, 4 Au 3.20, 4 Ag 3.20
Au: 0.5000 0.5000 0.0000  2 Au 3.05, 8 Te 3.20



Here is how they stack up, most stable first: arrangement b, arrangement c, arrangement d, arrangement a.



Arrangement a

The following is a DFT calculation (GGA-PBE) of a relaxed structure of AgTe2Au.

size of the total moment	0.0	μB/f.u.
SG	Pmmm (47)
crystal system	orthorhombic

Cell lengths 3.8915, 4.1959, 6.2676 Å; angles 90.00, 90.00, 90.00 degrees
Last column: nearest neighbours and their distance in Å.
Atoms (fractional coordinates):
Ag: 0.0000 0.0000 0.0000  4 Te 2.86
Te: 0.0000 0.5000 0.5000  4 Au 2.86
Te: 0.5000 0.5000 0.0000  4 Ag 2.86
Au: 0.5000 0.0000 0.5000  4 Te 2.86



Arrangement b

The following is a DFT calculation (GGA-PBE) of a relaxed structure of AgTe2Au.

size of the total moment	0.0	μB/f.u.
SG	R3m (160)
crystal system	trigonal

Cell lengths 7.2626, 7.2626, 7.2626 Å; angles 33.20, 33.20, 33.20 degrees
Last column: nearest neighbours and their distance in Å.
Atoms (fractional coordinates):
Ag: 0.0000 0.0000 0.0000  6 Te 3.00-3.02
Te: 0.5792 0.5792 0.5792  3 Au 2.91, 3 Ag 3.00
Te: 0.7558 0.7558 0.7558  3 Au 2.87, 3 Ag 3.02
Au: 0.1660 0.1660 0.1660  6 Te 2.87-2.91



Here is how they stack up, most stable first: arrangement b, arrangement a.



Arrangement a

The following is a DFT calculation (GGA-PBE) of a relaxed structure of Ag2TeAu2.

size of the total moment	0.0	μB/f.u.
SG	P4/mbm (127)
crystal system	tetragonal

Cell lengths 8.0025, 8.0025, 3.1990 Å; angles 90.00, 90.00, 90.00 degrees
Last column: nearest neighbours and their distance in Å.
Atoms (fractional coordinates):
Ag: 0.1631 0.3369 0.0000  6 Au 2.82-2.86
Ag: 0.3369 0.8369 0.0000  6 Au 2.82-2.86
Ag: 0.6631 0.1631 0.0000  6 Au 2.82-2.86
Ag: 0.8369 0.6631 0.0000  6 Au 2.82-2.86
Te: 0.0000 0.0000 0.5000  4 Au 3.13, 2 Te 3.20, 8 Ag 3.40
Te: 0.5000 0.5000 0.5000  4 Au 3.13, 2 Te 3.20, 8 Ag 3.40
Au: 0.1316 0.6316 0.5000  6 Ag 2.82-2.86, 1 Au 2.98, 2 Te 3.13
Au: 0.3684 0.1316 0.5000  6 Ag 2.82-2.86, 1 Au 2.98, 2 Te 3.13
Au: 0.6316 0.8684 0.5000  6 Ag 2.82-2.86, 1 Au 2.98, 2 Te 3.13
Au: 0.8684 0.3684 0.5000  6 Ag 2.82-2.86, 1 Au 2.98, 2 Te 3.13



Arrangement b

The following is a DFT calculation (GGA-PBE) of a relaxed structure of Ag2TeAu2.

size of the total moment	0.0	μB/f.u.
SG	I4/mmm (139)
crystal system	tetragonal

Cell lengths 7.7475, 7.7475, 7.7475 Å; angles 151.01, 151.01, 41.46 degrees
Last column: nearest neighbours and their distance in Å.
Atoms (fractional coordinates):
Ag: 0.0976 0.0976 0.0000  1 Ag 2.83, 4 Au 2.94, 4 Te 3.09
Ag: 0.9024 0.9024 0.0000  1 Ag 2.83, 4 Au 2.94, 4 Te 3.09
Te: 0.5000 0.5000 0.0000  8 Ag 3.09
Au: 0.2500 0.7500 0.5000  4 Au 2.74, 4 Ag 2.94
Au: 0.7500 0.2500 0.5000  4 Au 2.74, 4 Ag 2.94



Arrangement c

The following is a DFT calculation (GGA-PBE) of a relaxed structure of Ag2TeAu2.

size of the total moment	0.0	μB/f.u.
SG	I4/mmm (139)
crystal system	tetragonal

Cell lengths 7.4519, 7.4519, 7.4519 Å; angles 149.33, 149.33, 43.92 degrees
Last column: nearest neighbours and their distance in Å.
Atoms (fractional coordinates):
Ag: 0.2500 0.7500 0.5000  4 Ag 2.79, 4 Au 2.87
Ag: 0.7500 0.2500 0.5000  4 Ag 2.79, 4 Au 2.87
Te: 0.0000 0.0000 0.0000  8 Au 3.11
Au: 0.4008 0.4008 0.0000  1 Au 2.74, 4 Ag 2.87
Au: 0.5992 0.5992 0.0000  1 Au 2.74, 4 Ag 2.87



Here is how they stack up, most stable first: arrangement a, arrangement b, arrangement c.



Arrangement a

The following is a DFT calculation (GGA-PBE) of a relaxed structure of AgTe4Au.

size of the total moment	0.0	μB/f.u.
SG	F-43m (216)
crystal system	cubic

Cell lengths 6.2995, 6.2995, 6.2995 Å; angles 60.00, 60.00, 60.00 degrees
Last column: nearest neighbours and their distance in Å.
Atoms (fractional coordinates):
Ag: 0.0000 0.0000 0.0000  12 Te 3.69, 4 Au 3.86
Te: 0.3756 0.3756 0.3756  6 Te 3.14-3.16
Te: 0.3756 0.3756 0.8733  6 Te 3.14-3.16
Te: 0.3756 0.8733 0.3756  6 Te 3.14-3.16
Te: 0.8733 0.3756 0.3756  6 Te 3.14-3.16
Au: 0.7500 0.7500 0.7500  12 Te 3.69, 4 Ag 3.86



Arrangement b

The following is a DFT calculation (GGA-PBE) of a relaxed structure of AgTe4Au.

size of the total moment	0.0	μB/f.u.
SG	P2/c (13)
crystal system	monoclinic

Cell lengths 9.0698, 4.5586, 10.2657 Å; angles 90.00, 123.94, 90.00 degrees
Last column: nearest neighbours and their distance in Å.
Atoms (fractional coordinates):
Ag: 0.0000 0.0188 0.2500  4 Te 2.79-2.96
Ag: 0.0000 0.9812 0.7500  4 Te 2.79-2.96
Te: 0.2033 0.4686 0.2048  1 Au 2.71, 1 Te 2.85, 1 Ag 2.96
Te: 0.2033 0.5314 0.7048  1 Au 2.71, 1 Te 2.85, 1 Ag 2.96
Te: 0.3065 0.0979 0.0452  1 Au 2.75, 1 Ag 2.79, 1 Te 2.85
Te: 0.3065 0.9021 0.5452  1 Au 2.75, 1 Ag 2.79, 1 Te 2.85
Te: 0.6935 0.0979 0.4548  1 Au 2.75, 1 Ag 2.79, 1 Te 2.85
Te: 0.6935 0.9021 0.9548  1 Au 2.75, 1 Ag 2.79, 1 Te 2.85
Te: 0.7967 0.4686 0.2952  1 Au 2.71, 1 Te 2.85, 1 Ag 2.96
Te: 0.7967 0.5314 0.7952  1 Au 2.71, 1 Te 2.85, 1 Ag 2.96
Au: 0.5000 0.5000 0.0000  4 Te 2.71-2.75
Au: 0.5000 0.5000 0.5000  4 Te 2.71-2.75



Here is how they stack up, most stable first: arrangement b, arrangement a.